{
  "formula": "K2Cd3CoF12",
  "functional": "PBE+U",
  "state": "relaxed",
  "energy_ev_per_cell": -70.94,
  "sg": "No. 166",
  "lattice_angstrom": [[-5.652, 2.323, 4.880], [-6.098, -4.592, 1.697], [-0.879, -3.203, 7.080]],
  "species": ["K", "K", "Cd", "Cd", "Cd", "Co", "F", "F", "F", "F", "F", "F", "F", "F", "F", "F", "F", "F"],
  "frac_coords": [[0.606, 0.606, 0.606], [0.394, 0.394, 0.394], [0.500, 0.000, 0.000], [0.000, 0.500, 0.000], [0.000, 0.000, 0.500], [0.000, 0.000, 0.000], [0.352, 0.352, 0.918], [0.940, 0.940, 0.279], [0.279, 0.940, 0.940], [0.918, 0.352, 0.352], [0.940, 0.279, 0.940], [0.352, 0.918, 0.352], [0.648, 0.648, 0.082], [0.060, 0.060, 0.721], [0.721, 0.060, 0.060], [0.082, 0.648, 0.648], [0.060, 0.721, 0.060], [0.648, 0.082, 0.648]]
}